Entry from Alexandria: a relaxed structure of BaFeIrO6 (GGA+U).

Cell: 5.305 5.305 5.732 Å, 90.00 90.00 120.00°
Sites, in units of the cell vectors:
Ba1 0.000 0.000 0.000
Fe1 0.333 0.667 0.500
Ir1 0.667 0.333 0.500
O1 0.395 0.014 0.691
O2 0.395 0.382 0.309
O3 0.618 0.014 0.309
O4 0.618 0.605 0.691
O5 0.986 0.382 0.691
O6 0.986 0.605 0.309

Values from the calculation:
density = 5.72 g/cm3
symmetry = P312, No. 149
raw total energy = -6.48 eV/atom